The following is a DFT calculation (PBE with a Hubbard U) of La2WO6 after structural relaxation.

Summary:
For the electronic total energy, the calculation gives -8.1582 eV/atom. For the magnetic moment, the calculation gives 0.00 μB/cell. The value obtained for the mass density is 7.009 Mg/m³.

```
data_La2WO6
_space_group_name_H-M_alt 'P 1 2/c 1'
_space_group_IT_number 13
_cell_length_a 7.9977
_cell_length_b 5.6444
_cell_length_c 12.0080
_cell_angle_alpha 90.00
_cell_angle_beta 102.86
_cell_angle_gamma 90.00
loop_
_space_group_symop_operation_xyz
'x,y,z'
'-x,-y,-z'
'-x,y,-z+1/2'
'x,-y,z+1/2'
loop_
_atom_site_label
_atom_site_fract_x
_atom_site_fract_y
_atom_site_fract_z
La1 0.0000 0.1837 0.2500
La2 0.2956 0.3021 0.9250
La3 0.5000 0.2372 0.2500
W1 0.2259 0.2496 0.6158
O1 0.0014 0.1373 0.6130
O2 0.1438 0.3487 0.4616
O3 0.2068 0.4918 0.2240
O4 0.2827 0.0481 0.7656
O5 0.3535 0.0099 0.0714
O6 0.4349 0.4557 0.6056
```